# TaCrN PBE optimized geometry
# * total magnetization: 0.1 μB per formula unit
# * formation energy (no corrections): -0.541 eV/atom
# * uncorrected energy: -10.474 eV/atom
data_TaCrN
_chemical_formula_sum 'Ta4 Cr4 N4'
_symmetry_space_group_name_H-M 'C 1 m 1'
_symmetry_Int_Tables_number 8
_symmetry_space_group_name_Hall 'C -2y'
_cell_length_a 10.910
_cell_length_b 2.956
_cell_length_c 4.361
_cell_angle_alpha 90.00
_cell_angle_beta 91.01
_cell_angle_gamma 90.00
loop_
_atom_site_label
_atom_site_fract_x
_atom_site_fract_y
_atom_site_fract_z
Ta1 0.000 0.000 0.000
Ta2 0.159 0.500 0.520
Cr1 0.264 0.000 0.009
Cr2 0.390 0.000 0.487
N1 0.141 0.500 0.038
N2 0.338 0.500 0.738


# Rb2AgPI6 PBE optimized geometry
# * total magnetization: 0.0 μB per formula unit
# * formation energy (no corrections): -0.617 eV/atom
# * E above lowest polymorph: 16.0 meV/atom
# * uncorrected energy: -2.567 eV/atom
data_Rb2AgPI6
_chemical_formula_sum 'Rb8 Ag4 P4 I24'
_symmetry_space_group_name_H-M 'F m -3 m'
_symmetry_Int_Tables_number 225
_symmetry_space_group_name_Hall '-F 4 2 3'
_cell_length_a 11.617
_cell_length_b 11.617
_cell_length_c 11.617
_cell_angle_alpha 90.00
_cell_angle_beta 90.00
_cell_angle_gamma 90.00
loop_
_atom_site_label
_atom_site_fract_x
_atom_site_fract_y
_atom_site_fract_z
Rb1 0.250 0.250 0.250
Ag1 0.000 0.000 0.000
P1 0.000 0.000 0.500
I1 0.000 0.000 0.258


# MgAuIN2 PBE optimized geometry
# * total magnetization: 3.2 μB per formula unit
# * formation energy (no corrections): 1.353 eV/atom
# * E above lowest polymorph: 111.6 meV/atom
# * uncorrected energy: -3.262 eV/atom
data_MgAuIN2
_chemical_formula_sum 'Mg1 Au1 I1 N2'
_symmetry_space_group_name_H-M 'P 4/m m m'
_symmetry_Int_Tables_number 123
_symmetry_space_group_name_Hall '-P 4 2'
_cell_length_a 4.097
_cell_length_b 4.097
_cell_length_c 7.321
_cell_angle_alpha 90.00
_cell_angle_beta 90.00
_cell_angle_gamma 90.00
loop_
_atom_site_label
_atom_site_fract_x
_atom_site_fract_y
_atom_site_fract_z
Mg1 0.000 0.000 0.000
Au1 0.500 0.500 0.500
I1 0.500 0.500 0.000
N1 0.000 0.500 0.500


# La2NdCu2Sn2 PBE optimized geometry
# * total magnetization: 0.0 μB per formula unit
# * uncorrected energy: -4.846 eV/atom
# * energy of formation from the pure elements: -0.44 eV/atom
data_La2NdCu2Sn2
_chemical_formula_sum 'La6 Nd3 Cu6 Sn6'
_symmetry_space_group_name_H-M 'R -3 m'
_symmetry_Int_Tables_number 166
_symmetry_space_group_name_Hall '-R 3 2"'
_cell_length_a 4.5869
_cell_length_b 4.5869
_cell_length_c 28.8724
_cell_angle_alpha 90.00
_cell_angle_beta 90.00
_cell_angle_gamma 120.00
loop_
_atom_site_label
_atom_site_fract_x
_atom_site_fract_y
_atom_site_fract_z
La1 0.0000 0.0000 0.1363
Nd1 0.0000 0.0000 0.0000
Cu1 0.0000 0.0000 0.4112
Sn1 0.0000 0.0000 0.2653